Record 1
A plane-wave DFT calculation with PBE was carried out for a relaxed PmBiSO2 crystal.

The calculation puts the total DFT energy (no corrections) at -6.59 eV per atom. The density comes out at 7.6 g/cm³.

The space group is P3m1 (No. 156) and the conventional cell measures 3.9414, 3.9414 and 6.7907 Å, with angles of 90.00, 90.00 and 120.00 degrees. The distinct sites, in fractional coordinates, are Pm at (0.0000, 0.0000, 0.0000), Bi at (0.3333, 0.6667, 0.5559), S at (0.6667, 0.3333, 0.2753), O at (0.0000, 0.0000, 0.6544) and O at (0.3333, 0.6667, 0.9087).

***

Record 2
A plane-wave DFT calculation with PBE was carried out for a relaxed TbPaOs crystal.

Its energy above the most stable polymorph in this dataset is 0 meV/atom. Its formation energy from the elements is -0.28 kcal/mol of atoms. The density comes out at 12.5 g/cm³.

The space group is F-43m (No. 216) and the conventional cell measures 6.756, 6.756 and 6.756 Å, with angles of 90.00, 90.00 and 90.00 degrees. The distinct sites, in fractional coordinates, are Tb at (0.000, 0.000, 0.000), Pa at (0.000, 0.000, 0.500) and Os at (0.250, 0.250, 0.750).

***

Record 3
A plane-wave DFT calculation with PBE was carried out for a relaxed NaYHgS3 crystal.

Its energy above the most stable polymorph in this dataset is 5 meV/atom. The density comes out at 4.7 g/cm³.

The space group is Cmcm (No. 63) and the conventional cell measures 4.028, 13.331 and 10.759 Å, with angles of 90.00, 90.00 and 90.00 degrees. The distinct sites, in fractional coordinates, are Na at (0.000, 0.242, 0.250), Y at (0.000, 0.500, 0.000), Hg at (0.000, 0.047, 0.750), S at (0.000, 0.137, 0.549) and S at (0.000, 0.418, 0.750).

***

Record 4
A plane-wave DFT calculation with PBE was carried out for a relaxed BeNbCuPb crystal.

Its energy above the most stable polymorph in this dataset is 56 meV/atom. The density comes out at 9.2 g/cm³.

The space group is F-43m (No. 216) and the conventional cell measures 6.461, 6.461 and 6.461 Å, with angles of 90.00, 90.00 and 90.00 degrees. The distinct sites, in fractional coordinates, are Be at (0.000, 0.000, 0.000), Nb at (0.250, 0.250, 0.250), Cu at (0.250, 0.250, 0.750) and Pb at (0.000, 0.000, 0.500).

***

Record 5
A plane-wave DFT calculation with PBE was carried out for a relaxed GdDy2In3PtAu2 crystal.

The calculation puts the total DFT energy (no corrections) at -4.69 eV per atom. The density comes out at 11.5 g/cm³.

The space group is Amm2 (No. 38) and the conventional cell measures 3.957, 13.403 and 7.734 Å, with angles of 90.00, 90.00 and 90.00 degrees. The distinct sites, in fractional coordinates, are Gd at (0.000, 0.000, 0.000), Dy at (0.000, 0.200, 0.602), In at (0.500, 0.000, 0.658), In at (0.500, 0.128, 0.273), Pt at (0.000, 0.000, 0.401) and Au at (0.500, 0.167, 0.901).

***

Record 6
A plane-wave DFT calculation with PBE was carried out for a relaxed TmSnAuO3 crystal.

The calculation puts the total DFT energy (no corrections) at -6.18 eV per atom. The density comes out at 10.2 g/cm³.

The space group is Cmcm (No. 63) and the conventional cell measures 3.629, 10.299 and 9.304 Å, with angles of 90.00, 90.00 and 90.00 degrees. The distinct sites, in fractional coordinates, are Tm at (0.000, 0.000, 0.000), Sn at (0.000, 0.317, 0.250), Au at (0.000, 0.365, 0.750), O at (0.000, 0.021, 0.750) and O at (0.000, 0.379, 0.046).

***

Record 7
A plane-wave DFT calculation with PBE was carried out for a relaxed NaAlNiS3 crystal.

Its energy above the most stable polymorph in this dataset is 81 meV/atom. The density comes out at 3.1 g/cm³.

The space group is Cmcm (No. 63) and the conventional cell measures 3.491, 12.984 and 9.734 Å, with angles of 90.00, 90.00 and 90.00 degrees. The distinct sites, in fractional coordinates, are Na at (0.000, 0.243, 0.250), Al at (0.000, 0.000, 0.000), Ni at (0.000, 0.476, 0.750), S at (0.000, 0.078, 0.750) and S at (0.000, 0.380, 0.557).

***

Record 8
A plane-wave DFT calculation with PBE was carried out for a relaxed BaPOsO crystal.

Its energy above the most stable polymorph in this dataset is 296 meV/atom. The density comes out at 7.4 g/cm³.

The space group is Pmc2_1 (No. 26) and the conventional cell measures 3.923, 5.745 and 7.454 Å, with angles of 90.00, 90.00 and 90.00 degrees. The distinct sites, in fractional coordinates, are Ba at (0.000, 0.186, 0.000), P at (0.500, 0.392, 0.673), Os at (0.500, 0.324, 0.377) and O at (0.000, 0.235, 0.355).

***

Record 9
A plane-wave DFT calculation with PBE was carried out for a relaxed KTbHgSe3 crystal.

The calculation puts the total DFT energy (no corrections) at -3.94 eV per atom. The density comes out at 5.7 g/cm³.

The space group is P2_1/m (No. 11) and the conventional cell measures 8.468, 4.269 and 10.710 Å, with angles of 90.00, 107.90 and 90.00 degrees. The distinct sites, in fractional coordinates, are K at (0.246, 0.250, 0.223), Tb at (0.182, 0.750, 0.634), Hg at (0.411, 0.250, 0.885), Se at (0.045, 0.750, 0.360), Se at (0.244, 0.750, 0.940) and Se at (0.425, 0.250, 0.644).

***

Record 10
A plane-wave DFT calculation with PBE was carried out for a relaxed Y5Er2Ni2Te2 crystal.

Its energy above the most stable polymorph in this dataset is 11 meV/atom. The density comes out at 6.6 g/cm³.

The space group is Imm2 (No. 44) and the conventional cell measures 3.857, 15.640 and 9.593 Å, with angles of 90.00, 90.00 and 90.00 degrees. The distinct sites, in fractional coordinates, are Y at (0.000, 0.000, 0.000), Y at (0.000, 0.131, 0.418), Y at (0.000, 0.316, 0.620), Er at (0.000, 0.354, 0.268), Ni at (0.000, 0.238, 0.928), Te at (0.000, 0.000, 0.664) and Te at (0.000, 0.500, 0.764).

***

Record 11
A plane-wave DFT calculation with PBE was carried out for a relaxed Zr2Sb crystal.

The calculation puts the total DFT energy (no corrections) at -7.32 eV per atom. The density comes out at 6.6 g/cm³.

The space group is Fm-3m (No. 225) and the conventional cell measures 6.742, 6.742 and 6.742 Å, with angles of 90.00, 90.00 and 90.00 degrees. The distinct sites, in fractional coordinates, are Zr at (0.250, 0.250, 0.250) and Sb at (0.000, 0.000, 0.000).

***

Record 12
A plane-wave DFT calculation with PBE was carried out for a relaxed MgTcNiSb crystal.

Its energy above the most stable polymorph in this dataset is 0 meV/atom. The density comes out at 8.1 g/cm³.

The space group is F-43m (No. 216) and the conventional cell measures 6.280, 6.280 and 6.280 Å, with angles of 90.00, 90.00 and 90.00 degrees. The distinct sites, in fractional coordinates, are Mg at (0.000, 0.000, 0.000), Tc at (0.250, 0.250, 0.250), Ni at (0.250, 0.250, 0.750) and Sb at (0.000, 0.000, 0.500).

***

Record 13
A plane-wave DFT calculation with PBE was carried out for a relaxed PrErNp crystal.

Its energy above the most stable polymorph in this dataset is 0 meV/atom. Its formation energy from the elements is 26.24 kcal/mol of atoms. The density comes out at 9.3 g/cm³.

The space group is F-43m (No. 216) and the conventional cell measures 7.309, 7.309 and 7.309 Å, with angles of 90.00, 90.00 and 90.00 degrees. The distinct sites, in fractional coordinates, are Pr at (0.000, 0.000, 0.000), Er at (0.250, 0.250, 0.750) and Np at (0.250, 0.250, 0.250).

***

Record 14
A plane-wave DFT calculation with PBE was carried out for a relaxed TbPbAuSe3 crystal.

Its energy above the most stable polymorph in this dataset is 39 meV/atom. The density comes out at 8.7 g/cm³.

The space group is Pnma (No. 62) and the conventional cell measures 12.604, 4.195 and 11.531 Å, with angles of 90.00, 90.00 and 90.00 degrees. The distinct sites, in fractional coordinates, are Tb at (0.008, 0.250, 0.179), Pb at (0.206, 0.250, 0.469), Au at (0.203, 0.750, 0.233), Se at (0.034, 0.750, 0.352), Se at (0.109, 0.250, 0.950) and Se at (0.188, 0.750, 0.675).

***

Record 15
A plane-wave DFT calculation with PBE was carried out for a relaxed AlCuGePd crystal.

Its energy above the most stable polymorph in this dataset is 67 meV/atom. The density comes out at 7.4 g/cm³.

The space group is F-43m (No. 216) and the conventional cell measures 6.235, 6.235 and 6.235 Å, with angles of 90.00, 90.00 and 90.00 degrees. The distinct sites, in fractional coordinates, are Al at (0.000, 0.000, 0.000), Cu at (0.000, 0.000, 0.500), Ge at (0.250, 0.250, 0.250) and Pd at (0.250, 0.250, 0.750).

***

Record 16
A plane-wave DFT calculation with PBE was carried out for a relaxed CdGa2Si crystal.

The calculation puts the total DFT energy (no corrections) at -2.83 eV per atom. The density comes out at 6.0 g/cm³.

The space group is F-43m (No. 216) and the conventional cell measures 6.773, 6.773 and 6.773 Å, with angles of 90.00, 90.00 and 90.00 degrees. The distinct sites, in fractional coordinates, are Cd at (0.000, 0.000, 0.000), Ga at (0.000, 0.000, 0.500), Ga at (0.250, 0.250, 0.250) and Si at (0.250, 0.250, 0.750).

***

Record 17
A plane-wave DFT calculation with PBE was carried out for a relaxed DySbOs crystal.

The calculation puts the total DFT energy (no corrections) at -6.88 eV per atom. The density comes out at 11.2 g/cm³.

The space group is F-43m (No. 216) and the conventional cell measures 6.549, 6.549 and 6.549 Å, with angles of 90.00, 90.00 and 90.00 degrees. The distinct sites, in fractional coordinates, are Dy at (0.000, 0.000, 0.000), Sb at (0.000, 0.000, 0.500) and Os at (0.250, 0.250, 0.250).

***

Record 18
A plane-wave DFT calculation with PBE was carried out for a relaxed PaNbAg crystal.

Its energy above the most stable polymorph in this dataset is 304 meV/atom. Its formation energy from the elements is 25.80 kcal/mol of atoms. The density comes out at 10.0 g/cm³.

The space group is F-43m (No. 216) and the conventional cell measures 6.597, 6.597 and 6.597 Å, with angles of 90.00, 90.00 and 90.00 degrees. The distinct sites, in fractional coordinates, are Pa at (0.000, 0.000, 0.000), Nb at (0.250, 0.250, 0.250) and Ag at (0.250, 0.250, 0.750).

***

Record 19
A plane-wave DFT calculation with PBE was carried out for a relaxed NaPrCdTe3 crystal.

Its energy above the most stable polymorph in this dataset is 0 meV/atom. The density comes out at 5.5 g/cm³.

The space group is Cmcm (No. 63) and the conventional cell measures 4.471, 14.888 and 11.985 Å, with angles of 90.00, 90.00 and 90.00 degrees. The distinct sites, in fractional coordinates, are Na at (0.000, 0.233, 0.250), Pr at (0.000, 0.000, 0.000), Cd at (0.000, 0.471, 0.750), Te at (0.000, 0.093, 0.750) and Te at (0.000, 0.355, 0.564).

***

Record 20
A plane-wave DFT calculation with PBE was carried out for a relaxed ZrScCoBi crystal.

Its energy above the most stable polymorph in this dataset is 0 meV/atom. The density comes out at 8.3 g/cm³.

The space group is F-43m (No. 216) and the conventional cell measures 6.851, 6.851 and 6.851 Å, with angles of 90.00, 90.00 and 90.00 degrees. The distinct sites, in fractional coordinates, are Zr at (0.000, 0.000, 0.000), Sc at (0.250, 0.250, 0.750), Co at (0.000, 0.000, 0.500) and Bi at (0.250, 0.250, 0.250).

***

Record 21
A plane-wave DFT calculation with PBE was carried out for a relaxed Li4ZrSnO6 crystal.

The calculation puts the total DFT energy (no corrections) at -6.40 eV per atom. The density comes out at 4.6 g/cm³.

The space group is C2 (No. 5) and the conventional cell measures 5.347, 9.237 and 5.224 Å, with angles of 90.00, 110.06 and 90.00 degrees. The distinct sites, in fractional coordinates, are Li at (0.000, 0.000, 0.000), Li at (0.000, 0.152, 0.500), Li at (0.000, 0.509, 0.500), Li at (0.000, 0.843, 0.500), Zr at (0.000, 0.333, 0.000), Sn at (0.000, 0.668, 0.000), O at (0.233, 0.502, 0.243), O at (0.243, 0.672, 0.762) and O at (0.250, 0.326, 0.761).

***

Record 22
A plane-wave DFT calculation with PBE was carried out for a relaxed Tb2Ge5Ir3 crystal.

The calculation puts the total DFT energy (no corrections) at -6.62 eV per atom. The density comes out at 11.4 g/cm³.

The space group is C2/c (No. 15) and the conventional cell measures 11.919, 11.799 and 6.032 Å, with angles of 90.00, 120.19 and 90.00 degrees. The distinct sites, in fractional coordinates, are Tb at (0.225, 0.135, 0.225), Ge at (0.000, 0.001, 0.250), Ge at (0.000, 0.277, 0.250), Ge at (0.000, 0.278, 0.750), Ge at (0.163, 0.402, 0.163), Ir at (0.000, 0.500, 0.250) and Ir at (0.111, 0.142, 0.612).

***

Record 23
A plane-wave DFT calculation with PBE was carried out for a relaxed BaSnPt2 crystal.

The calculation puts the total DFT energy (no corrections) at -4.95 eV per atom. The density comes out at 10.1 g/cm³.

The space group is P-6m2 (No. 187) and the conventional cell measures 4.6132, 4.6132 and 5.7615 Å, with angles of 90.00, 90.00 and 120.00 degrees. The distinct sites, in fractional coordinates, are Ba at (0.0000, 0.0000, 0.0000), Sn at (0.6667, 0.3333, 0.5000) and Pt at (0.3333, 0.6667, 0.2726).

***

Record 24
A plane-wave DFT calculation with PBE was carried out for a relaxed NaLaTb crystal.

Its energy above the most stable polymorph in this dataset is 0 meV/atom. The density comes out at 4.7 g/cm³.

The space group is F-43m (No. 216) and the conventional cell measures 7.662, 7.662 and 7.662 Å, with angles of 90.00, 90.00 and 90.00 degrees. The distinct sites, in fractional coordinates, are Na at (0.000, 0.000, 0.000), La at (0.250, 0.250, 0.750) and Tb at (0.250, 0.250, 0.250).